Ac3AlHg3 PBE relaxed; energy above the most stable polymorph in this dataset = 158 meV/atom; space-group type = P6_3/m (176); energy relative to the elements = -0.2603 eV per atom; DOS(E_F) = 9.8 states/eV/cell
1.0
5.304 0.000 0.000
0.000 9.926 0.000
0.000 -4.963 8.596
Ac Hg Al
6 6 2
Cartesian
1.326 -2.278 5.670
1.326 1.192 3.789
1.326 1.086 7.734
3.978 7.241 2.926
3.978 3.877 0.862
3.978 3.771 4.808
1.326 4.274 6.701
3.978 0.689 1.895
1.326 8.629 1.545
3.978 -3.666 7.052
1.326 1.986 0.351
3.978 2.977 8.246
1.326 4.963 2.865
3.978 0.000 5.731

---

SnBiO2 PBE relaxed; energy above the most stable polymorph in this dataset = 268 meV/atom; space-group type = I-42d (122); DOS(E_F) = 3.2 states/eV/cell
1.0
-0.002 -0.947 5.491
0.019 -5.491 -0.947
5.457 -3.201 2.277
O Sn Bi
4 2 2
Cartesian
1.366 -2.082 3.903
4.107 -8.054 5.680
4.099 -4.795 3.415
1.376 -4.347 0.644
0.009 -3.219 2.272
2.742 -5.955 1.801
2.732 -3.683 5.020
0.000 0.000 0.000

---

TiIn3Cl6 PBE relaxed; energy above the most stable polymorph in this dataset = 54 meV/atom; space-group type = Fmmm (69); DOS(E_F) = 6.7 states/eV/cell
1.0
7.002 -0.172 0.000
-1.258 6.890 0.000
-2.872 -3.359 6.651
Cl In Ti
6 3 1
Cartesian
4.621 5.405 1.716
0.573 5.324 0.000
5.170 1.394 0.000
-1.750 -2.046 4.935
1.122 1.313 1.716
1.750 2.046 4.935
2.872 3.359 0.000
3.501 -0.086 3.326
-0.629 3.445 3.326
0.000 0.000 0.000

---

PmHoTm4 PBE relaxed; energy above the most stable polymorph in this dataset = 35 meV/atom; space-group type = P2/m (10); energy relative to the elements = 0.0403 eV per atom; DOS(E_F) = 10.1 states/eV/cell
1.0
3.173 1.331 0.001
0.955 6.490 0.001
-0.001 -0.001 9.591
Ho Tm Pm
1 4 1
Cartesian
2.057 3.915 0.019
1.578 0.670 8.021
3.643 4.581 3.185
1.579 0.670 1.607
3.643 4.580 6.445
3.165 1.335 4.815

---

NaCr2Si2 PBE relaxed; energy above the most stable polymorph in this dataset = 0 meV/atom; space-group type = P4/mbm (127); DOS(E_F) = 6.9 states/eV/cell
1.0
-7.072 2.278 0.211
-0.019 -0.742 7.395
0.779 2.394 0.242
Si Na Cr
4 2 4
Cartesian
-1.875 1.792 1.521
-4.436 2.139 6.327
-0.898 1.103 5.190
-5.414 2.827 2.659
-3.545 0.768 3.803
0.000 0.000 0.000
-4.305 1.306 0.931
-6.316 1.579 4.688
-0.774 -0.043 2.918
-2.785 0.230 6.675

---

Ba5PdRh PBE relaxed; space-group type = C2/c (15); energy relative to the elements = -0.1954 eV per atom; DOS(E_F) = 10.5 states/eV/cell
1.0
7.432 1.014 -2.131
-0.312 7.495 -2.131
0.023 0.027 11.895
Ba Rh Pd
10 2 2
Cartesian
0.895 5.597 4.190
4.065 5.906 1.442
3.078 2.629 6.190
6.247 2.938 3.442
5.674 3.441 9.390
5.594 7.734 -1.888
5.306 6.445 5.724
1.837 2.091 1.908
1.468 5.095 -1.757
1.548 0.802 9.521
0.000 0.000 0.000
3.571 4.268 3.816
6.791 5.178 -0.223
0.351 3.357 7.855

---

Cu2TeC PBE relaxed; energy above the most stable polymorph in this dataset = 656 meV/atom; space-group type = Fm-3m (225); DOS(E_F) = 2.4 states/eV/cell
1.0
-1.289 -2.578 3.281
-4.193 -1.171 0.340
-1.187 -4.125 -0.802
Te C Cu
1 1 2
Cartesian
-3.335 -3.937 1.409
0.000 0.000 0.000
-1.667 -1.969 0.704
-5.002 -5.906 2.113

---

Zr2Al2Ni PBE relaxed; energy above the most stable polymorph in this dataset = 219 meV/atom; space-group type = P-3m1 (164); energy relative to the elements = -0.2805 eV per atom; DOS(E_F) = 2.0 states/eV/cell
1.0
-1.869 3.175 -1.516
-1.265 -3.671 -0.894
-4.084 0.120 5.287
Ni Al Zr
1 2 2
Cartesian
0.000 0.000 0.000
-1.903 -1.376 -0.536
-5.315 1.000 3.414
-4.147 -1.310 2.369
-3.071 0.934 0.508